{
  "formula": "Nd3CdAg4",
  "functional": "PBE-GGA",
  "state": "optimized geometry",
  "m_tot_mub_per_atom": 0.00,
  "total_energy_ev_per_cell": -28.55,
  "e_form_mev_per_atom": -241,
  "cell": [[2.597, 1.499, 8.499], [-2.597, 1.499, 8.499], [0.000, -2.999, 8.499]],
  "species": ["Nd", "Nd", "Nd", "Cd", "Ag", "Ag", "Ag", "Ag"],
  "frac_coords": [[0.000, 0.000, 0.000], [0.243, 0.243, 0.243], [0.757, 0.757, 0.757], [0.500, 0.500, 0.500], [0.123, 0.123, 0.123], [0.374, 0.374, 0.374], [0.626, 0.626, 0.626], [0.877, 0.877, 0.877]]
}